Record 1
7
Lattice="-3.051 0.760 1.191 -1.852 -2.026 -3.450 0.748 -11.439 9.215" Properties=species:S:1:pos:R:3 comment="In2Sn2Bi3, optimized geometry, DFT PBE-GGA" dos_ef_per_ev_atom=0.499 mass_density_g_cm3=8.4 delta_e_f_ev_per_atom=0.0552 spacegroup="P2/m (10)" total_magnetization_mub_per_fu=0.00 pbc="T T T"
In -1.573 -3.079 2.681
In -2.582 -9.626 4.275
Sn -0.150 -10.498 6.316
Sn -0.955 -2.967 -0.551
Bi -0.104 -7.216 4.338
Bi 0.000 0.000 0.000
Bi -1.000 -6.249 1.426

Record 2
4
Lattice="-0.694 -1.847 4.127 4.957 -3.418 1.095 4.780 3.688 2.902" Properties=species:S:1:pos:R:3 comment="SeI2Cl, optimized geometry, DFT PBE-GGA" dos_ef_per_ev_atom=0.299 raw_formation_energy_ev_per_atom=-0.019 mass_density_g_cm3=3.6 spacegroup="P1 (1)" total_magnetization_mub_per_fu=0.00 relative_energy_mev_per_atom=82 pbc="T T T"
I 2.684 -2.264 3.058
I 4.701 1.400 2.507
Se 6.575 -0.878 6.803
Cl 6.876 -1.515 3.428

Record 3
10
Lattice="4.148 0.000 0.000 0.000 4.148 0.000 0.000 0.000 10.217" Properties=species:S:1:pos:R:3 comment="Pm2AlSi4Ir3, optimized geometry, DFT PBE-GGA" dos_ef_per_ev_atom=0.554 raw_formation_energy_ev_per_atom=-0.916 mass_density_g_cm3=9.5 spacegroup="P-4m2 (115)" total_magnetization_mub_per_fu=0.00 pbc="T T T"
Pm 2.074 0.000 2.474
Pm 0.000 2.074 7.742
Al 2.074 2.074 5.108
Si 2.074 2.074 0.000
Si 0.000 0.000 0.000
Si 2.074 0.000 6.577
Si 0.000 2.074 3.639
Ir 0.000 0.000 5.108
Ir 2.074 0.000 8.973
Ir 0.000 2.074 1.244

Record 4
10
Lattice="-2.455 4.635 7.604 -4.929 -7.277 2.845 9.812 -1.399 -1.598" Properties=species:S:1:pos:R:3 comment="K2Rb6HgF, optimized geometry, DFT PBE-GGA" dos_ef_per_ev_atom=0.872 raw_formation_energy_ev_per_atom=-0.523 mass_density_g_cm3=2.1 spacegroup="Cm (8)" total_magnetization_mub_per_fu=0.00 pbc="T T T"
K 2.049 0.861 5.749
K 0.810 -5.104 3.366
Rb -5.732 -2.089 8.196
Rb -1.048 -2.498 6.790
Rb -1.568 -0.599 2.306
Rb -2.954 2.014 6.594
Rb 2.741 -1.225 1.633
Rb -4.348 -4.702 3.910
Hg 5.710 -2.540 3.383
F 0.509 -0.232 0.307